[1]
! CoAu3C PBE optimized geometry; values from VASP
! size of the total moment	0.40	μB/atom
! energy of formation	964	meV per atom
! symmetry	Pm-3m
! crystal system	cubic
&SYSTEM
  ibrav = 0, nat = 5, ntyp = 3
/
ATOMIC_SPECIES
Au 196.97 Au.upf
Co 58.93 Co.upf
C 12.01 C.upf
ATOMIC_POSITIONS angstrom
Au -1.0513 -1.2759 -1.3728
Co -2.6635 -2.4271 0.9317
C 0.0000 0.0000 0.0000
Au 0.2458 -1.6543 1.3493
Au -1.8580 0.5031 0.9552
CELL_PARAMETERS angstrom
-3.7160 1.0062 1.9105
-2.1025 -2.5517 -2.7457
0.4915 -3.3086 2.6985

[2]
! Co2AuC PBE optimized geometry; values from VASP
! size of the total moment	0.21	μB/atom
! energy of formation	448	meV per atom
! symmetry	I-42d
! crystal system	tetragonal
&SYSTEM
  ibrav = 0, nat = 8, ntyp = 3
/
ATOMIC_SPECIES
Au 196.97 Au.upf
Co 58.93 Co.upf
C 12.01 C.upf
ATOMIC_POSITIONS angstrom
Au -0.9293 -6.6979 -0.0704
Co -1.2265 -6.4647 2.5988
Co -0.9897 -9.8372 2.5883
Co 0.0430 -4.0386 2.9146
Au 0.0000 0.0000 0.0000
C -0.3947 -5.5046 3.9082
Co -0.4749 -4.0645 -0.4262
C 0.4602 -4.0038 1.1390
CELL_PARAMETERS angstrom
-0.0743 -5.1971 -2.8396
0.9948 -2.8105 5.1177
-2.2445 -4.1950 1.5597

[3]
! CrCo2AuC PBE optimized geometry; values from VASP
! size of the total moment	0.99	μB/atom
! energy of formation	137	meV per atom
! symmetry	P4/mmm
! crystal system	tetragonal
&SYSTEM
  ibrav = 0, nat = 5, ntyp = 4
/
ATOMIC_SPECIES
Co 58.93 Co.upf
C 12.01 C.upf
Cr 52.00 Cr.upf
Au 196.97 Au.upf
ATOMIC_POSITIONS angstrom
Co 0.0000 1.9294 0.0000
C 0.0000 0.0000 0.0000
Co 1.9294 0.0000 0.0000
Cr 0.0000 0.0000 1.9814
Au 1.9294 1.9294 1.9814
CELL_PARAMETERS angstrom
3.8588 0.0000 0.0000
0.0000 3.8588 0.0000
0.0000 0.0000 3.9629

[4]
! Dy2CoAuC PBE optimized geometry; values from VASP
! size of the total moment	0.00	μB/atom
! energy of formation	-573	meV per atom
! symmetry	P4/mmm
! crystal system	tetragonal
&SYSTEM
  ibrav = 0, nat = 5, ntyp = 4
/
ATOMIC_SPECIES
Co 58.93 Co.upf
C 12.01 C.upf
Dy 162.50 Dy.upf
Au 196.97 Au.upf
ATOMIC_POSITIONS angstrom
Co 1.8193 0.0000 0.0000
C 0.0000 0.0000 0.0000
Dy 0.0000 2.5053 0.0000
Dy 0.0000 0.0000 2.5053
Au 1.8193 2.5053 2.5053
CELL_PARAMETERS angstrom
3.6385 0.0000 0.0000
0.0000 5.0106 0.0000
0.0000 0.0000 5.0106

[5]
! Er2CoAuC PBE optimized geometry; values from VASP
! size of the total moment	0.00	μB/atom
! energy of formation	-597	meV per atom
! symmetry	P4/mmm
! crystal system	tetragonal
&SYSTEM
  ibrav = 0, nat = 5, ntyp = 4
/
ATOMIC_SPECIES
C 12.01 C.upf
Au 196.97 Au.upf
Co 58.93 Co.upf
Er 167.26 Er.upf
ATOMIC_POSITIONS angstrom
C 0.0000 0.0000 0.0000
Au 1.2266 1.3755 3.4864
Co -0.2400 1.7700 0.3330
Er 2.3053 0.1454 0.8884
Er -0.8388 -0.5399 2.2649
CELL_PARAMETERS angstrom
-0.4799 3.5400 0.6661
-1.6777 -1.0797 4.5299
4.6107 0.2907 1.7769

[6]
! FeCoAu2C PBE optimized geometry; values from VASP
! size of the total moment	0.85	μB/atom
! energy of formation	754	meV per atom
! symmetry	P4/mmm
! crystal system	tetragonal
&SYSTEM
  ibrav = 0, nat = 5, ntyp = 4
/
ATOMIC_SPECIES
Au 196.97 Au.upf
Co 58.93 Co.upf
Fe 55.84 Fe.upf
C 12.01 C.upf
ATOMIC_POSITIONS angstrom
Au 0.8660 -0.7024 1.8345
Au -1.6096 -1.4030 0.2227
Co 0.2547 -3.4044 1.0886
Fe 0.9983 -1.2990 -0.9686
C 0.0000 0.0000 0.0000
CELL_PARAMETERS angstrom
-3.2192 -2.8060 0.4453
1.9966 -2.5980 -1.9372
1.7320 -1.4048 3.6691

[7]
! FeCo2AuC PBE optimized geometry; values from VASP
! size of the total moment	1.04	μB/atom
! energy of formation	163	meV per atom
! symmetry	P4/mmm
! crystal system	tetragonal
&SYSTEM
  ibrav = 0, nat = 5, ntyp = 4
/
ATOMIC_SPECIES
Fe 55.84 Fe.upf
C 12.01 C.upf
Au 196.97 Au.upf
Co 58.93 Co.upf
ATOMIC_POSITIONS angstrom
Fe 0.0651 1.8651 0.5845
C 0.0000 0.0000 0.0000
Au -2.2242 2.3766 -0.7924
Co -0.4116 0.5749 -1.7886
Co -1.8777 -0.0635 0.4117
CELL_PARAMETERS angstrom
-0.8232 1.1498 -3.5773
-3.7554 -0.1270 0.8234
0.1302 3.7303 1.1691

[8]
! KCoAu3C6N6 PBE optimized geometry; values from VASP
! size of the total moment	0.06	μB/atom
! symmetry	P312
! raw formation energy	3.8	eV/f.u.
! crystal system	trigonal
&SYSTEM
  ibrav = 0, nat = 17, ntyp = 5
/
ATOMIC_SPECIES
C 12.01 C.upf
Au 196.97 Au.upf
N 14.01 N.upf
Co 58.93 Co.upf
K 39.10 K.upf
ATOMIC_POSITIONS angstrom
C -2.9629 -5.7007 0.5853
C -4.0542 -2.0964 2.1577
C 0.2326 -6.2914 4.0182
Au -4.1856 -4.4299 -0.3442
Au -0.9837 -3.3202 -0.8768
C -0.6778 -2.6244 5.5604
N -0.2149 -2.0539 4.6460
N 0.2382 -2.2646 1.8460
C -0.2312 -2.6808 0.8549
Au -3.3135 -1.2277 0.5235
Co 0.9551 -1.1607 3.3236
K 1.9668 -4.8355 1.7495
N -0.1516 -6.7228 2.9973
N -4.5396 -2.5853 3.1070
N -2.2451 -6.4809 1.0872
C -3.5411 -5.5260 5.3700
N -4.3217 -4.8122 4.8630
CELL_PARAMETERS angstrom
-6.6668 -2.3104 1.1091
4.8509 -4.3569 -2.9156
1.9103 -2.3214 6.6472